Compound: TaSi2Au
Source: Alexandria via LeMat-Bulk
Functional: PBE-GGA
Structure: optimized geometry

The value obtained for the uncorrected formation energy is 326 meV per atom. For the calculated total energy, the calculation gives -6.168 eV per atom. The calculated volume comes out at 277.9 Å³ per cell. For the calculated density, the calculation gives 10.4 g/cm3.

The space group is I-42d (No. 122) and the conventional cell measures 6.878, 6.878 and 5.873 Å, with angles of 90.00, 90.00 and 90.00 degrees. The inequivalent atoms are Ta at (0.000, 0.000, 0.000), Si at (0.232, 0.250, 0.625) and Au at (0.000, 0.000, 0.500).



Compound: Ta2SiAu
Source: Alexandria via LeMat-Bulk
Functional: PBE-GGA
Structure: optimized geometry

The value obtained for the uncorrected formation energy is -4 meV per atom. For the calculated total energy, the calculation gives -8.106 eV per atom. The calculated volume comes out at 135.5 Å³ per cell. For the calculated density, the calculation gives 14.4 g/cm3.

The space group is I-4m2 (No. 119) and the conventional cell measures 3.930, 3.930 and 8.771 Å, with angles of 90.00, 90.00 and 90.00 degrees. The inequivalent atoms are Ta at (0.000, 0.000, 0.000), Ta at (0.000, 0.500, 0.250), Si at (0.000, 0.000, 0.500) and Au at (0.000, 0.500, 0.750).



Compound: Ta2SiAu
Source: Alexandria via LeMat-Bulk
Functional: PBE-GGA
Structure: optimized geometry

The value obtained for the uncorrected formation energy is 172 meV per atom. For the calculated total energy, the calculation gives -7.930 eV per atom. The calculated volume comes out at 289.4 Å³ per cell. For the calculated density, the calculation gives 13.5 g/cm3.

The space group is I-42d (No. 122) and the conventional cell measures 7.176, 7.176 and 5.620 Å, with angles of 90.00, 90.00 and 90.00 degrees. The inequivalent atoms are Ta at (0.233, 0.250, 0.125), Si at (0.000, 0.000, 0.000) and Au at (0.000, 0.000, 0.500).



Compound: Ta2SiAu
Source: Alexandria via LeMat-Bulk
Functional: PBE-GGA
Structure: optimized geometry

The value obtained for the uncorrected formation energy is -45 meV per atom. For the calculated total energy, the calculation gives -8.146 eV per atom. The calculated volume comes out at 68.8 Å³ per cell. For the calculated density, the calculation gives 14.2 g/cm3.

The space group is P4mm (No. 99) and the conventional cell measures 3.485, 3.485 and 5.666 Å, with angles of 90.00, 90.00 and 90.00 degrees. The inequivalent atoms are Ta at (0.000, 0.000, 0.000), Ta at (0.500, 0.500, 0.248), Si at (0.500, 0.500, 0.766) and Au at (0.000, 0.000, 0.515).